Record 1
A relaxed MgGeRu2 crystal, computed with PBE-GGA.

Cell: 3.0899 4.2987 4.2987 Å, 90.00 90.00 90.00°
Last column: nearest neighbours and their distance in Å.
Atoms (fractional coordinates):
Mg 0.5000 0.5000 0.5000  8 Ru 2.65
Ru 0.0000 0.5000 0.0000  4 Ge 2.65, 4 Mg 2.65
Ge 0.5000 0.0000 0.0000  8 Ru 2.65
Ru 0.0000 0.0000 0.5000  4 Ge 2.65, 4 Mg 2.65

Computed properties:
crystal system = tetragonal
D(E_F) = 4.2 states/eV/cell
total magnetic moment = 0.0 μB per formula unit
SG = No. 123
E_form = -152 meV per atom
theoretical density = 8.70 Mg/m³

Record 2
A relaxed Mg2Ge2Ru3 crystal, computed with PBE-GGA.

Cell: 4.3394 4.3143 7.3787 Å, 90.00 106.78 119.81°
Last column: nearest neighbours and their distance in Å.
Atoms (fractional coordinates):
Ru 0.4695 0.7348 0.1985  4 Ge 2.50-2.62
Ge 0.7898 0.3949 0.1774  6 Ru 2.50-2.77
Ge 0.2102 0.6051 0.8226  6 Ru 2.50-2.77
Ru 0.0000 0.0000 0.0000  2 Mg 2.75, 6 Ge 2.77-2.82, 6 Ru 2.84-2.86
Mg 0.2654 0.1327 0.3953  5 Ru 2.75-2.86, 3 Mg 2.89-2.90, 3 Ge 2.92-2.93
Ru 0.5305 0.2652 0.8015  4 Ge 2.50-2.62
Mg 0.7346 0.8673 0.6047  5 Ru 2.75-2.86, 3 Mg 2.89-2.90, 3 Ge 2.92-2.93

Computed properties:
crystal system = monoclinic
D(E_F) = 6.0 states/eV/cell
total magnetic moment = 1.3 μB per formula unit
SG = No. 12
E_form = -145 meV per atom
theoretical density = 7.30 Mg/m³

Record 3
A relaxed Mg3GeRu crystal, computed with PBE-GGA.

Cell: 4.9129 4.9129 4.9129 Å, 90.00 90.00 90.00°
Last column: nearest neighbours and their distance in Å.
Atoms (fractional coordinates):
Ge 0.0000 0.0000 0.0000  6 Mg 2.46
Mg 0.0000 0.5000 0.0000  2 Ge 2.46
Mg 0.0000 0.0000 0.5000  2 Ge 2.46
Mg 0.5000 0.0000 0.0000  2 Ge 2.46
Ru 0.5000 0.5000 0.5000  12 Mg 3.47

Computed properties:
crystal system = cubic
D(E_F) = 5.4 states/eV/cell
total magnetic moment = 2.1 μB per formula unit
SG = No. 221
E_form = 850 meV per atom
theoretical density = 3.45 Mg/m³
excess energy over the best structure of this formula in the dataset = 284 meV/atom

Record 4
A relaxed MgGe2Ru crystal, computed with PBE-GGA.

Cell: 3.0781 3.0781 9.2801 Å, 80.45 80.45 60.00°
Last column: nearest neighbours and their distance in Å.
Atoms (fractional coordinates):
Ge 0.0999 0.0999 0.7004  3 Ru 2.55, 1 Mg 2.73
Ru 0.5000 0.5000 0.5000  6 Ge 2.55
Ge 0.9001 0.9001 0.2996  3 Ru 2.55, 1 Mg 2.73
Mg 0.0000 0.0000 0.0000  2 Ge 2.73

Computed properties:
crystal system = trigonal
D(E_F) = 2.2 states/eV/cell
total magnetic moment = 0.0 μB per formula unit
SG = No. 166
E_form = -17 meV per atom
theoretical density = 6.01 Mg/m³

Copy entry 1 word for word.
A relaxed MgGeRu2 crystal, computed with PBE-GGA.

Cell: 3.0899 4.2987 4.2987 Å, 90.00 90.00 90.00°
Last column: nearest neighbours and their distance in Å.
Atoms (fractional coordinates):
Mg 0.5000 0.5000 0.5000  8 Ru 2.65
Ru 0.0000 0.5000 0.0000  4 Ge 2.65, 4 Mg 2.65
Ge 0.5000 0.0000 0.0000  8 Ru 2.65
Ru 0.0000 0.0000 0.5000  4 Ge 2.65, 4 Mg 2.65

Computed properties:
crystal system = tetragonal
D(E_F) = 4.2 states/eV/cell
total magnetic moment = 0.0 μB per formula unit
SG = No. 123
E_form = -152 meV per atom
theoretical density = 8.70 Mg/m³